[1]
This record from OQMD via LeMat-Bulk describes a relaxed NdSmSi3Ag crystal. The functional is PBE.

Calculated values
Its magnetic moment is 0.01 μB per cell. The space-group type is Fmmm. The total energy comes out at -65.0 eV/cell.

Cell lengths 8.338, 8.322, 5.923 Å; angles 69.32, 69.03, 41.65 degrees
Atoms (fractional coordinates):
Nd 0.250 0.250 0.250
Nd 0.750 0.750 0.750
Sm 0.242 0.758 0.242
Sm 0.758 0.242 0.758
Si 0.163 0.163 0.837
Si 0.164 0.673 0.836
Si 0.327 0.836 0.673
Si 0.673 0.164 0.327
Si 0.836 0.327 0.164
Si 0.837 0.837 0.163
Ag 0.335 0.335 0.665
Ag 0.665 0.665 0.335

***

[2]
This record from OQMD via LeMat-Bulk describes a relaxed NaTcAuSe3 crystal. The functional is PBE.

Calculated values
Its magnetic moment is 0.15 μB per cell. Its energy above the lowest structure with this stoichiometry is 15 meV/atom. The space-group type is Pnma. The total energy comes out at -108.9 eV/cell.

Cell lengths 12.813, 3.723, 10.273 Å; angles 90.00, 90.00, 90.00 degrees
Atoms (fractional coordinates):
Na 0.189 0.250 0.046
Na 0.311 0.750 0.546
Na 0.689 0.250 0.454
Na 0.811 0.750 0.954
Tc 0.002 0.750 0.677
Tc 0.498 0.250 0.177
Tc 0.502 0.750 0.823
Tc 0.998 0.250 0.323
Au 0.170 0.750 0.294
Au 0.330 0.250 0.794
Au 0.670 0.750 0.206
Au 0.830 0.250 0.706
Se 0.004 0.750 0.153
Se 0.094 0.250 0.540
Se 0.190 0.750 0.807
Se 0.310 0.250 0.307
Se 0.406 0.750 0.040
Se 0.496 0.250 0.653
Se 0.504 0.750 0.347
Se 0.594 0.250 0.960
Se 0.690 0.750 0.693
Se 0.810 0.250 0.193
Se 0.906 0.750 0.460
Se 0.996 0.250 0.847

***

[3]
This record from OQMD via LeMat-Bulk describes a relaxed ZrAs crystal. The functional is PBE.

Calculated values
Its magnetic moment is 0.01 μB per cell. The space-group type is Pmmn. The total energy comes out at -59.0 eV/cell.

Cell lengths 3.958, 3.988, 10.028 Å; angles 90.00, 90.00, 90.00 degrees
Atoms (fractional coordinates):
Zr 0.250 0.250 0.000
Zr 0.250 0.750 0.293
Zr 0.750 0.250 0.707
Zr 0.750 0.750 0.000
As 0.250 0.250 0.500
As 0.250 0.750 0.797
As 0.750 0.250 0.203
As 0.750 0.750 0.500

***

[4]
This record from OQMD via LeMat-Bulk describes a relaxed ZnNiTe3Pb crystal. The functional is PBE.

Calculated values
Its magnetic moment is 0.02 μB per cell. Its energy above the lowest structure with this stoichiometry is 0 meV/atom. The space-group type is Cmcm. The total energy comes out at -41.3 eV/cell.

Cell lengths 7.396, 7.396, 10.657 Å; angles 90.00, 90.00, 148.13 degrees
Atoms (fractional coordinates):
Zn 0.038 0.962 0.750
Zn 0.962 0.038 0.250
Ni 0.500 0.500 0.000
Ni 0.500 0.500 0.500
Te 0.126 0.874 0.534
Te 0.126 0.874 0.966
Te 0.421 0.579 0.750
Te 0.579 0.421 0.250
Te 0.874 0.126 0.034
Te 0.874 0.126 0.466
Pb 0.262 0.738 0.250
Pb 0.738 0.262 0.750

***

[5]
This record from OQMD via LeMat-Bulk describes a relaxed HoGeTe3Au crystal. The functional is PBE.

Calculated values
Its magnetic moment is 0.00 μB per cell. Its energy above the lowest structure with this stoichiometry is 0 meV/atom. The space-group type is Pnma. The total energy comes out at -101.8 eV/cell.

Cell lengths 11.058, 4.405, 15.422 Å; angles 90.00, 90.00, 90.00 degrees
Atoms (fractional coordinates):
Ho 0.164 0.250 0.030
Ho 0.336 0.750 0.530
Ho 0.664 0.250 0.470
Ho 0.836 0.750 0.970
Ge 0.069 0.250 0.640
Ge 0.431 0.750 0.140
Ge 0.569 0.250 0.860
Ge 0.931 0.750 0.360
Te 0.024 0.750 0.140
Te 0.154 0.250 0.467
Te 0.205 0.750 0.703
Te 0.295 0.250 0.203
Te 0.346 0.750 0.967
Te 0.476 0.250 0.640
Te 0.524 0.750 0.360
Te 0.654 0.250 0.033
Te 0.705 0.750 0.797
Te 0.795 0.250 0.297
Te 0.846 0.750 0.533
Te 0.976 0.250 0.860
Au 0.114 0.750 0.897
Au 0.386 0.250 0.397
Au 0.614 0.750 0.603
Au 0.886 0.250 0.103

***

[6]
This record from OQMD via LeMat-Bulk describes a relaxed Ta4As3P crystal. The functional is PBE.

Calculated values
Its magnetic moment is 0.00 μB per cell. The space-group type is Imm2. The total energy comes out at -67.1 eV/cell.

Cell lengths 6.195, 6.195, 6.195 Å; angles 127.47, 74.87, 130.75 degrees
Atoms (fractional coordinates):
Ta 0.245 0.000 0.245
Ta 0.755 0.000 0.755
Ta 0.758 0.008 0.250
Ta 0.758 0.508 0.750
As 0.251 0.498 0.753
As 0.307 0.807 0.500
As 0.745 0.498 0.247
P 0.180 0.180 0.000